Entry 1:
A geometry-optimized NaLa2Cd2 structure. Source: the Alexandria database, functional GGA-PBE.

Output
Density of states at the Fermi level: 5.05 states/eV/f.u.
DFT total energy: -2.568 eV/atom
ρ: 5.10 g/cm³
Energy relative to the lowest polymorph listed for this composition: 185.9 meV/atom
Energy of formation: 16 kJ/mol of formula units

Cell lengths 8.2626, 8.2626, 8.2626 Å; angles 146.49, 146.49, 48.13 degrees
Fractional positions:
Na: 0.0000 0.0000 0.0000
La: 0.2500 0.7500 0.5000
La: 0.7500 0.2500 0.5000
Cd: 0.4070 0.4070 0.0000
Cd: 0.5930 0.5930 0.0000

---

Entry 2:
A geometry-optimized NaLaCd4 structure. Source: the Alexandria database, functional GGA-PBE.

Output
Density of states at the Fermi level: 6.38 states/eV/f.u.
DFT total energy: -1.846 eV/atom
ρ: 6.53 g/cm³
Energy relative to the lowest polymorph listed for this composition: 36.1 meV/atom
Energy of formation: -113 kJ/mol of formula units

Cell lengths 6.0352, 6.0352, 6.0352 Å; angles 60.00, 60.00, 60.00 degrees
Fractional positions:
Na: 0.0000 0.0000 0.0000
La: 0.7500 0.7500 0.7500
Cd: 0.3750 0.3750 0.3750
Cd: 0.3750 0.3750 0.8751
Cd: 0.3750 0.8751 0.3750
Cd: 0.8751 0.3750 0.3750

---

Entry 3:
A geometry-optimized NaLaCd structure. Source: the Alexandria database, functional GGA-PBE.

Output
Density of states at the Fermi level: 2.88 states/eV/f.u.
DFT total energy: -2.433 eV/atom
ρ: 4.83 g/cm³
Energy relative to the lowest polymorph listed for this composition: 70.6 meV/atom
Energy of formation: -13 kJ/mol of formula units

Cell lengths 7.9431, 7.9431, 7.9431 Å; angles 154.27, 154.27, 36.71 degrees
Fractional positions:
Na: 0.0000 0.0000 0.0000
La: 0.2920 0.2920 0.0000
Cd: 0.6454 0.6454 0.0000

---

Entry 4:
A geometry-optimized NaLaCd structure. Source: the Alexandria database, functional GGA-PBE.

Output
Density of states at the Fermi level: 2.18 states/eV/f.u.
DFT total energy: -2.504 eV/atom
ρ: 4.98 g/cm³
Energy relative to the lowest polymorph listed for this composition: 0.0 meV/atom
Energy of formation: -34 kJ/mol of formula units

Cell lengths 8.9755, 8.9755, 5.5295 Å; angles 90.00, 90.00, 155.76 degrees
Fractional positions:
Na: 0.2484 0.7516 0.7500
Na: 0.7516 0.2484 0.2500
La: 0.4417 0.5583 0.2500
La: 0.5583 0.4417 0.7500
Cd: 0.1038 0.8962 0.2500
Cd: 0.8962 0.1038 0.7500

---

Entry 5:
A geometry-optimized NaLa2Cd2 structure. Source: the Alexandria database, functional GGA-PBE.

Output
Density of states at the Fermi level: 4.45 states/eV/f.u.
DFT total energy: -2.689 eV/atom
ρ: 5.44 g/cm³
Energy relative to the lowest polymorph listed for this composition: 65.3 meV/atom
Energy of formation: -42 kJ/mol of formula units

Cell lengths 9.5528, 9.5528, 3.5157 Å; angles 90.00, 90.00, 90.00 degrees
Fractional positions:
Na: 0.0000 0.0000 0.0000
Na: 0.5000 0.5000 0.0000
La: 0.1198 0.3802 0.0000
La: 0.3802 0.8802 0.0000
La: 0.6198 0.1198 0.0000
La: 0.8802 0.6198 0.0000
Cd: 0.1743 0.6743 0.5000
Cd: 0.3257 0.1743 0.5000
Cd: 0.6743 0.8257 0.5000
Cd: 0.8257 0.3257 0.5000

---

Entry 6:
A geometry-optimized NaLaCd6 structure. Source: the Alexandria database, functional GGA-PBE.

Output
Density of states at the Fermi level: 2.49 states/eV/f.u.
DFT total energy: -1.674 eV/atom
ρ: 7.12 g/cm³
Energy of formation: -159 kJ/mol of formula units

Cell lengths 5.0685, 7.5923, 5.0718 Å; angles 90.00, 90.00, 90.00 degrees
Fractional positions:
Na: 0.0000 0.0000 0.0000
La: 0.5000 0.5000 0.5075
Cd: 0.0000 0.2308 0.5004
Cd: 0.0000 0.5000 0.0038
Cd: 0.0000 0.7692 0.5004
Cd: 0.5000 0.0000 0.5079
Cd: 0.5000 0.2310 0.0079
Cd: 0.5000 0.7690 0.0079

---

Entry 7:
A geometry-optimized NaLa2Cd4 structure. Source: the Alexandria database, functional GGA-PBE.

Output
Density of states at the Fermi level: 4.52 states/eV/f.u.
DFT total energy: -2.257 eV/atom
ρ: 6.34 g/cm³
Energy of formation: -93 kJ/mol of formula units

Cell lengths 5.6178, 5.6178, 7.5718 Å; angles 100.57, 100.57, 57.22 degrees
Fractional positions:
Na: 0.0000 0.0000 0.0000
La: 0.3000 0.3000 0.8041
La: 0.7000 0.7000 0.1959
Cd: 0.0994 0.0994 0.3916
Cd: 0.3922 0.3922 0.3055
Cd: 0.6078 0.6078 0.6945
Cd: 0.9006 0.9006 0.6084

---

Entry 8:
A geometry-optimized Na2La2Cd structure. Source: the Alexandria database, functional GGA-PBE.

Output
Density of states at the Fermi level: 1.99 states/eV/f.u.
DFT total energy: -2.425 eV/atom
ρ: 3.81 g/cm³
Energy relative to the lowest polymorph listed for this composition: 88.8 meV/atom
Energy of formation: 124 kJ/mol of formula units

Cell lengths 8.0619, 8.0619, 5.8503 Å; angles 90.00, 90.00, 90.00 degrees
Fractional positions:
Na: 0.1706 0.3294 0.0000
Na: 0.3294 0.8294 0.0000
Na: 0.6706 0.1706 0.0000
Na: 0.8294 0.6706 0.0000
La: 0.1285 0.6285 0.5000
La: 0.3715 0.1285 0.5000
La: 0.6285 0.8715 0.5000
La: 0.8715 0.3715 0.5000
Cd: 0.0000 0.0000 0.5000
Cd: 0.5000 0.5000 0.5000

---

Entry 9:
A geometry-optimized NaLa2Cd2 structure. Source: the Alexandria database, functional GGA-PBE.

Output
Density of states at the Fermi level: 6.09 states/eV/f.u.
DFT total energy: -2.460 eV/atom
ρ: 5.15 g/cm³
Energy relative to the lowest polymorph listed for this composition: 294.2 meV/atom
Energy of formation: 68 kJ/mol of formula units

Cell lengths 9.6503, 9.6503, 9.6503 Å; angles 154.24, 154.24, 36.75 degrees
Fractional positions:
Na: 0.0000 0.0000 0.0000
La: 0.3897 0.3897 0.0000
La: 0.6103 0.6103 0.0000
Cd: 0.2500 0.7500 0.5000
Cd: 0.7500 0.2500 0.5000

---

Entry 10:
A geometry-optimized NaLa4Cd5 structure. Source: the Alexandria database, functional GGA-PBE.

Output
Density of states at the Fermi level: 11.82 states/eV/f.u.
DFT total energy: -2.832 eV/atom
ρ: 6.34 g/cm³
Energy of formation: -262 kJ/mol of formula units

Cell lengths 3.8992, 3.8992, 19.6629 Å; angles 90.00, 90.00, 90.00 degrees
Fractional positions:
Na: 0.0000 0.0000 0.0000
La: 0.0000 0.0000 0.1968
La: 0.0000 0.0000 0.3982
La: 0.0000 0.0000 0.6018
La: 0.0000 0.0000 0.8032
Cd: 0.5000 0.5000 0.0954
Cd: 0.5000 0.5000 0.2982
Cd: 0.5000 0.5000 0.5000
Cd: 0.5000 0.5000 0.7018
Cd: 0.5000 0.5000 0.9046

---

Entry 11:
A geometry-optimized NaLaNdCd structure. Source: the Alexandria database, functional GGA-PBE.

Output
Density of states at the Fermi level: 5.88 states/eV/f.u.
DFT total energy: -2.991 eV/atom
ρ: 5.57 g/cm³
Energy of formation: -3 kJ/mol of formula units

Cell lengths 5.6104, 5.6104, 5.6104 Å; angles 60.00, 60.00, 60.00 degrees
Fractional positions:
Na: 0.0000 0.0000 0.0000
La: 0.2500 0.2500 0.2500
Nd: 0.7500 0.7500 0.7500
Cd: 0.5000 0.5000 0.5000

---

Entry 12:
A geometry-optimized NaLaCd2Ni structure. Source: the Alexandria database, functional GGA-PBE.

Output
Density of states at the Fermi level: 3.45 states/eV/f.u.
DFT total energy: -2.918 eV/atom
ρ: 5.44 g/cm³
Energy of formation: -71 kJ/mol of formula units

Cell lengths 5.2087, 5.2087, 5.0154 Å; angles 90.00, 90.00, 90.00 degrees
Fractional positions:
Na: 0.0000 0.0000 0.0000
La: 0.5000 0.5000 0.0000
Cd: 0.0000 0.5000 0.5000
Cd: 0.5000 0.0000 0.5000
Ni: 0.5000 0.5000 0.5000

---

Entry 13:
A geometry-optimized Na2LaCdO4 structure. Source: the Alexandria database, functional GGA-PBE.

Output
Density of states at the Fermi level: 0.98 states/eV/f.u.
DFT total energy: -5.198 eV/atom
Formation energy (no corrections): -1281 kJ/mol of formula units
ρ: 4.74 g/cm³

Cell lengths 6.2889, 6.2889, 12.2123 Å; angles 90.00, 90.00, 148.41 degrees
Fractional positions:
Na: 0.1354 0.8646 0.5187
Na: 0.1354 0.8646 0.9813
Na: 0.8646 0.1354 0.0187
Na: 0.8646 0.1354 0.4813
La: 0.3294 0.6706 0.7500
La: 0.6706 0.3294 0.2500
Cd: 0.4035 0.5965 0.2500
Cd: 0.5965 0.4035 0.7500
O: 0.0206 0.9794 0.2500
O: 0.2571 0.7429 0.1350
O: 0.2571 0.7429 0.3650
O: 0.5000 0.5000 0.0000
O: 0.5000 0.5000 0.5000
O: 0.7429 0.2571 0.6350
O: 0.7429 0.2571 0.8650
O: 0.9794 0.0206 0.7500

---

Entry 14:
A geometry-optimized NaLaCd2O4 structure. Source: the Alexandria database, functional GGA-PBE.

Output
Density of states at the Fermi level: 1.51 states/eV/f.u.
DFT total energy: -5.318 eV/atom
Formation energy (no corrections): -1412 kJ/mol of formula units
ρ: 6.45 g/cm³

Cell lengths 6.0057, 6.0057, 6.0057 Å; angles 132.36, 132.36, 69.67 degrees
Fractional positions:
Na: 0.0000 0.0000 0.0000
La: 0.5000 0.5000 0.0000
Cd: 0.2500 0.7500 0.5000
Cd: 0.7500 0.2500 0.5000
O: 0.0000 0.5000 0.5000
O: 0.2522 0.2522 0.0000
O: 0.5000 0.0000 0.5000
O: 0.7478 0.7478 0.0000

---

Entry 15:
A geometry-optimized NaLa2CdOs structure. Source: the Alexandria database, functional GGA-PBE.

Output
Density of states at the Fermi level: 4.13 states/eV/f.u.
DFT total energy: -4.679 eV/atom
ρ: 6.03 g/cm³
Energy of formation: -7 kJ/mol of formula units

Cell lengths 5.5071, 5.5071, 5.4830 Å; angles 90.00, 90.00, 90.00 degrees
Fractional positions:
Na: 0.0000 0.0000 0.0000
La: 0.0000 0.5000 0.5000
La: 0.5000 0.0000 0.5000
Cd: 0.5000 0.5000 0.0000
Os: 0.5000 0.5000 0.5000

---

Entry 16:
A geometry-optimized NaLaCdPd structure. Source: the Alexandria database, functional GGA-PBE.

Output
Density of states at the Fermi level: 3.61 states/eV/f.u.
DFT total energy: -3.377 eV/atom
ρ: 6.31 g/cm³
Energy of formation: -111 kJ/mol of formula units

Cell lengths 5.2147, 5.2147, 5.2147 Å; angles 60.00, 60.00, 60.00 degrees
Fractional positions:
Na: 0.0000 0.0000 0.0000
La: 0.5000 0.5000 0.5000
Cd: 0.7500 0.7500 0.7500
Pd: 0.2500 0.2500 0.2500

---

Entry 17:
A geometry-optimized NaLaCdPt structure. Source: the Alexandria database, functional GGA-PBE.

Output
Density of states at the Fermi level: 3.51 states/eV/f.u.
DFT total energy: -3.711 eV/atom
ρ: 7.97 g/cm³
Energy of formation: -158 kJ/mol of formula units

Cell lengths 5.1711, 5.1711, 5.1711 Å; angles 60.00, 60.00, 60.00 degrees
Fractional positions:
Na: 0.0000 0.0000 0.0000
La: 0.5000 0.5000 0.5000
Cd: 0.7500 0.7500 0.7500
Pt: 0.2500 0.2500 0.2500

---

Entry 18:
A geometry-optimized Na2LaCdRh structure. Source: the Alexandria database, functional GGA-PBE.

Output
Density of states at the Fermi level: 4.80 states/eV/f.u.
DFT total energy: -2.843 eV/atom
ρ: 4.81 g/cm³
Energy of formation: 156 kJ/mol of formula units

Cell lengths 5.1340, 5.1340, 5.2390 Å; angles 90.00, 90.00, 90.00 degrees
Fractional positions:
Na: 0.0000 0.5000 0.0000
Na: 0.5000 0.0000 0.0000
La: 0.0000 0.0000 0.5000
Cd: 0.5000 0.5000 0.5000
Rh: 0.5000 0.5000 0.0000

---

Entry 19:
A geometry-optimized NaLa2CdRh structure. Source: the Alexandria database, functional GGA-PBE.

Output
Density of states at the Fermi level: 3.11 states/eV/f.u.
DFT total energy: -4.100 eV/atom
ρ: 5.25 g/cm³
Energy relative to the lowest polymorph listed for this composition: 86.8 meV/atom
Energy of formation: -102 kJ/mol of formula units

Cell lengths 5.4073, 5.4073, 5.5873 Å; angles 90.00, 90.00, 90.00 degrees
Fractional positions:
Na: 0.0000 0.0000 0.0000
La: 0.0000 0.5000 0.5000
La: 0.5000 0.0000 0.5000
Cd: 0.5000 0.5000 0.0000
Rh: 0.0000 0.0000 0.5000

---

Entry 20:
A geometry-optimized NaLa2CdRh structure. Source: the Alexandria database, functional GGA-PBE.

Output
Density of states at the Fermi level: 3.65 states/eV/f.u.
DFT total energy: -4.186 eV/atom
ρ: 5.23 g/cm³
Energy relative to the lowest polymorph listed for this composition: 0.0 meV/atom
Energy of formation: -144 kJ/mol of formula units

Cell lengths 5.4933, 5.4933, 5.4333 Å; angles 90.00, 90.00, 90.00 degrees
Fractional positions:
Na: 0.0000 0.0000 0.0000
La: 0.0000 0.5000 0.5000
La: 0.5000 0.0000 0.5000
Cd: 0.5000 0.5000 0.0000
Rh: 0.5000 0.5000 0.5000